Density functional theory data (PBE) for a geometry-optimized LaTb7Sm4 structure.

Properties
* mass density: 7.5 g/cm³
* D(E_F): 1.64 states/eV/atom
* crystal system: monoclinic
* E_form: 24.1 kJ per mole of atoms
* space group: C2/m (12)
* relative energy among the computed polymorphs: 241 meV/atom

Unit cell a=6.7786 b=6.7786 c=12.7744 alpha=114.86 beta=114.86 gamma=52.21
Fractional positions:
La1 0.0000 0.0000 0.0000
Tb1 0.0602 0.0602 0.3305
Tb2 0.2101 0.2101 0.9222
Tb3 0.3672 0.3672 0.4981
Tb4 0.5000 0.5000 0.0000
Tb5 0.6328 0.6328 0.5019
Tb6 0.7899 0.7899 0.0778
Tb7 0.9398 0.9398 0.6695
Sm1 0.2457 0.2457 0.6803
Sm2 0.3677 0.3677 0.2241
Sm3 0.6323 0.6323 0.7759
Sm4 0.7543 0.7543 0.3197